Record 1
Here is a relaxed structure of VFeP2O8 from Alexandria. Energies are from GGA+U.

Values from the calculation:
The energy relative to the lowest polymorph listed for this composition comes out at 8 meV per atom. The value obtained for the total magnetization is 7.00 μB per formula unit.

abc: 4.9116 5.9028 10.0503
angles: 90.00 90.48 90.00
Fractional coordinates of all 24 atoms:
1 V 0.0227 0.2500 0.2294
2 V 0.9773 0.7500 0.7706
3 Fe 0.4652 0.2500 0.7259
4 Fe 0.5348 0.7500 0.2741
5 P 0.0896 0.7500 0.0997
6 P 0.4129 0.7500 0.5946
7 P 0.5871 0.2500 0.4054
8 P 0.9104 0.2500 0.9003
9 O 0.1401 0.7500 0.9502
10 O 0.2160 0.2500 0.8734
11 O 0.2398 0.5468 0.1717
12 O 0.2398 0.9532 0.1717
13 O 0.2646 0.5471 0.6682
14 O 0.2646 0.9529 0.6682
15 O 0.2823 0.2500 0.3791
16 O 0.3501 0.7500 0.4459
17 O 0.6499 0.2500 0.5541
18 O 0.7177 0.7500 0.6209
19 O 0.7354 0.0471 0.3318
20 O 0.7354 0.4529 0.3318
21 O 0.7602 0.0468 0.8283
22 O 0.7602 0.4532 0.8283
23 O 0.7840 0.7500 0.1266
24 O 0.8599 0.2500 0.0498

***

Record 2
Here is a relaxed structure of V2Fe3P6WO24 from Alexandria. Energies are from GGA+U.

Values from the calculation:
The total energy is -7.33 eV/atom. The value obtained for the total magnetization is 22.00 μB per formula unit.

abc: 8.6556 8.6556 8.6556
angles: 60.15 60.15 60.15
Fractional coordinates of all 36 atoms:
1 V 0.0000 0.0000 0.0000
2 V 0.4975 0.4975 0.4975
3 Fe 0.1426 0.1426 0.1426
4 Fe 0.3523 0.3523 0.3523
5 Fe 0.6417 0.6417 0.6417
6 P 0.0430 0.4483 0.7440
7 P 0.2516 0.9535 0.5351
8 P 0.4483 0.7440 0.0430
9 P 0.5351 0.2516 0.9535
10 P 0.7440 0.0430 0.4483
11 P 0.9535 0.5351 0.2516
12 W 0.8529 0.8529 0.8529
13 O 0.9996 0.6091 0.8123
14 O 0.0568 0.2583 0.9087
15 O 0.0844 0.9324 0.7359
16 O 0.1122 0.5061 0.3034
17 O 0.1816 0.9933 0.3848
18 O 0.2358 0.4421 0.5845
19 O 0.2583 0.9087 0.0568
20 O 0.3034 0.1122 0.5061
21 O 0.3848 0.1816 0.9933
22 O 0.4093 0.7584 0.5563
23 O 0.4421 0.5845 0.2358
24 O 0.4956 0.6815 0.8849
25 O 0.5061 0.3034 0.1122
26 O 0.5563 0.4093 0.7584
27 O 0.5845 0.2358 0.4421
28 O 0.6091 0.8123 0.9996
29 O 0.6815 0.8849 0.4956
30 O 0.7359 0.0844 0.9324
31 O 0.7584 0.5563 0.4093
32 O 0.8123 0.9996 0.6091
33 O 0.8849 0.4956 0.6815
34 O 0.9087 0.0568 0.2583
35 O 0.9324 0.7359 0.0844
36 O 0.9933 0.3848 0.1816

***

Record 3
Here is a relaxed structure of Fe5P6WO24 from Alexandria. Energies are from GGA+U.

Values from the calculation:
Its density of states at the Fermi level is 0.0 states/eV/cell. The total energy is -7.19 eV/atom. The value obtained for the total magnetization is 24.02 μB per formula unit.

abc: 8.5894 8.5894 8.5894
angles: 60.86 60.86 60.86
Fractional coordinates of all 36 atoms:
1 Fe 0.0000 0.0000 0.0000
2 Fe 0.1397 0.1397 0.1397
3 Fe 0.5012 0.5012 0.5012
4 Fe 0.6439 0.6439 0.6439
5 Fe 0.7878 0.7878 0.7878
6 P 0.0990 0.3977 0.6918
7 P 0.1876 0.8895 0.6072
8 P 0.3977 0.6918 0.0990
9 P 0.6072 0.1876 0.8895
10 P 0.6918 0.0990 0.3977
11 P 0.8895 0.6072 0.1876
12 W 0.2868 0.2868 0.2868
13 O 0.0294 0.8345 0.6368
14 O 0.0542 0.4054 0.2083
15 O 0.0863 0.2350 0.8831
16 O 0.1425 0.3268 0.5316
17 O 0.1471 0.9627 0.7568
18 O 0.2083 0.0542 0.4054
19 O 0.2350 0.8831 0.0863
20 O 0.2566 0.4630 0.6440
21 O 0.3268 0.5316 0.1425
22 O 0.3837 0.7341 0.5870
23 O 0.4054 0.2083 0.0542
24 O 0.4630 0.6440 0.2566
25 O 0.5316 0.1425 0.3268
26 O 0.5544 0.6985 0.9049
27 O 0.5870 0.3837 0.7341
28 O 0.6368 0.0294 0.8345
29 O 0.6440 0.2566 0.4630
30 O 0.6985 0.9049 0.5544
31 O 0.7341 0.5870 0.3837
32 O 0.7568 0.1471 0.9627
33 O 0.8345 0.6368 0.0294
34 O 0.8831 0.0863 0.2350
35 O 0.9049 0.5544 0.6985
36 O 0.9627 0.7568 0.1471

***

Record 4
Here is a relaxed structure of FePWO2 from Alexandria. Energies are from GGA+U.

Values from the calculation:
The energy relative to the lowest polymorph listed for this composition comes out at 0 meV per atom. Its density of states at the Fermi level is 5.4 states/eV/cell. The value obtained for the total magnetization is 4.07 μB per formula unit.

abc: 3.8428 3.8428 5.2189
angles: 90.00 90.00 90.00
Fractional coordinates of all 5 atoms:
1 Fe 0.0000 0.0000 0.0000
2 P 0.5000 0.5000 0.0000
3 W 0.5000 0.5000 0.5000
4 O 0.0000 0.5000 0.5000
5 O 0.5000 0.0000 0.5000